DFT (PBE-GGA) results for a relaxed Na4Zn2SnGe crystal.

a b c (Å): 5.5700 9.4400 7.6663
angles (deg): 90.00 90.00 90.00
Positions (direct):
Na 0.0000 0.1731 0.0000
Na 0.0000 0.3269 0.5000
Na 0.0000 0.6731 0.5000
Na 0.0000 0.8269 0.0000
Na 0.5000 0.1798 0.2905
Na 0.5000 0.3202 0.7905
Na 0.5000 0.6798 0.7905
Na 0.5000 0.8202 0.2905
Zn 0.2545 0.0000 0.6597
Zn 0.2545 0.5000 0.1597
Zn 0.7455 0.0000 0.6597
Zn 0.7455 0.5000 0.1597
Sn 0.0000 0.0000 0.3702
Sn 0.0000 0.5000 0.8702
Ge 0.5000 0.0000 0.9258
Ge 0.5000 0.5000 0.4258

Crystal system: orthorhombic
E (eV/atom): -2.21